1.
The following is a GGA-PBE calculation of a geometry-optimized Mg6SnPt2 structure, from Alexandria.

Cell and atoms, written as extended XYZ:
```
18
Lattice="-4.3054 4.3116 5.0815 4.3054 -4.3116 5.0815 4.3054 4.3116 -5.0815" Properties=species:S:1:pos:R:3 pbc="T T T"
Mg 4.3054 2.4942 -2.5469
Mg 2.5987 1.6172 0.0000
Mg 6.0121 1.6172 0.0000
Mg 1.6058 4.3116 -1.5795
Mg 2.6996 0.0000 3.5020
Mg 0.0000 1.8174 2.5346
Mg 4.3054 2.4942 2.5469
Mg 1.6058 4.3116 1.5795
Mg 2.6996 0.0000 6.6610
Mg -1.7067 2.6944 5.0815
Mg 1.7067 2.6944 5.0815
Mg 0.0000 1.8174 7.6284
Sn 0.0000 0.0000 0.0000
Sn 0.0000 0.0000 5.0815
Pt 4.3054 0.0000 1.4135
Pt 0.0000 2.7135 0.0000
Pt 0.0000 5.9098 0.0000
Pt 0.0000 4.3116 3.6680
```

SG: No. 71
Energy, eV per cell: -60.2
Energy of formation, kJ/mol of atoms: -47.6


2.
The following is a GGA-PBE calculation of a geometry-optimized MgSn2Pt2 structure, from Alexandria.

Cell and atoms, written as extended XYZ:
```
10
Lattice="4.5123 0.0000 0.0000 0.0000 4.6246 0.0000 -0.0054 0.0000 9.7278" Properties=species:S:1:pos:R:3 pbc="T T T"
Mg 1.1236 1.1562 3.1932
Mg 3.3833 3.4685 6.5346
Sn 1.1288 1.1562 0.0787
Sn 1.1254 1.1562 6.5127
Sn 3.3815 3.4685 3.2152
Sn 3.3782 3.4685 9.6491
Pt 1.1253 3.4685 1.6085
Pt 1.1269 3.4685 4.9540
Pt 3.3800 1.1562 4.7739
Pt 3.3816 1.1562 8.1193
```

SG: No. 11
Energy, eV per cell: -49.6
Polymorph energy (0 for the lowest one), eV per atom: 0.0000
Energy of formation, kJ/mol of atoms: -60.0


3.
The following is a GGA-PBE calculation of a geometry-optimized Mg6Sn2Pt structure, from Alexandria.

Cell and atoms, written as extended XYZ:
```
9
Lattice="7.3620 -3.3733 0.0000 7.3620 3.3733 0.0000 -1.4851 0.0000 4.4416" Properties=species:S:1:pos:R:3 pbc="T T T"
Mg 4.5792 1.7673 1.5389
Mg 7.3620 1.8932 0.0000
Mg 8.6597 1.7673 2.9027
Mg 4.5792 -1.7673 1.5389
Mg 7.3620 -1.8932 0.0000
Mg 8.6597 -1.7673 2.9027
Sn 3.6677 0.0000 3.7041
Sn 9.5713 0.0000 0.7375
Pt -0.7425 0.0000 2.2208
```

SG: No. 12
Energy, eV per cell: -26.4
Energy of formation, kJ/mol of atoms: -30.1


4.
The following is a GGA-PBE calculation of a geometry-optimized Mg5SnPt structure, from Alexandria.

Cell and atoms, written as extended XYZ:
```
14
Lattice="6.2174 -3.9129 0.0000 6.2174 3.9129 0.0000 -5.5473 0.0000 8.3812" Properties=species:S:1:pos:R:3 pbc="T T T"
Mg 2.0569 3.7937 6.2859
Mg -0.5793 0.1194 5.4483
Mg 2.1944 -0.1194 1.2577
Mg 5.6656 1.4454 0.3339
Mg 3.9955 1.4454 3.8567
Mg 2.8919 -1.4454 4.5245
Mg 1.2218 -1.4454 8.0473
Mg 4.6931 0.1194 7.1235
Mg 7.4667 -0.1194 2.9329
Mg 4.8305 -3.7937 2.0953
Sn 2.0569 0.8158 6.2859
Sn 4.8305 -0.8158 2.0953
Pt 0.0000 0.0000 0.0000
Pt -2.7737 0.0000 4.1906
```

SG: No. 15
Energy, eV per cell: -37.6
Energy of formation, kJ/mol of atoms: -10.9


5.
The following is a GGA-PBE calculation of a geometry-optimized MgSn2Pt2 structure, from Alexandria.

Cell and atoms, written as extended XYZ:
```
10
Lattice="4.2856 0.0000 0.0000 0.0000 4.2856 0.0000 0.0000 0.0000 12.0066" Properties=species:S:1:pos:R:3 pbc="T T T"
Mg 0.0000 0.0000 0.0000
Mg 2.1428 2.1428 6.0033
Sn 0.0000 2.1428 3.0016
Sn 0.0000 2.1428 9.0049
Sn 2.1428 0.0000 3.0016
Sn 2.1428 0.0000 9.0049
Pt 0.0000 0.0000 4.6895
Pt 0.0000 0.0000 7.3170
Pt 2.1428 2.1428 1.3137
Pt 2.1428 2.1428 10.6928
```

SG: No. 139
Energy, eV per cell: -46.2
Polymorph energy (0 for the lowest one), eV per atom: 0.3361
Energy of formation, kJ/mol of atoms: -27.6


6.
The following is a GGA-PBE calculation of a geometry-optimized Mg8SnPt2 structure, from Alexandria.

Cell and atoms, written as extended XYZ:
```
11
Lattice="4.4974 0.0000 0.0000 -0.0164 6.8568 0.0000 -2.2214 -3.1604 7.2834" Properties=species:S:1:pos:R:3 pbc="T T T"
Mg 0.0000 0.0000 0.0000
Mg -0.0065 3.0051 0.7728
Mg 0.0060 -1.1505 3.1989
Mg 0.0025 3.3190 5.0679
Mg 0.0152 -0.7369 6.1021
Mg 2.2485 0.5882 1.9538
Mg 2.2466 3.3863 2.9958
Mg 2.2640 0.9986 4.8565
Sn 2.2373 4.9322 0.3904
Pt -0.0011 1.5659 3.0087
Pt 2.2652 -1.7164 5.0516
```

SG: No. 1
Energy, eV per cell: -33.9
Polymorph energy (0 for the lowest one), eV per atom: 0.0000
Energy of formation, kJ/mol of atoms: -44.6